(1)
{
  "formula": "Pr5NpSe6",
  "functional": "PBE",
  "state": "relaxed",
  "formation_energy_uncorrected_mev_per_atom": -1713,
  "total_energy_ev_per_atom": -6.53,
  "cell": [[-4.751, -3.343, 4.519], [2.736, -6.491, 2.050], [4.173, -0.487, 6.015]],
  "species": ["Pr", "Se", "Pr", "Se", "Pr", "Pr", "Se", "Pr", "Se", "Se", "Np", "Se"],
  "frac_coords": [[0.500, 0.500, 0.000], [0.244, 0.918, 0.675], [0.000, 0.332, 0.335], [0.756, 0.082, 0.325], [0.500, 0.173, 0.655], [0.000, 0.668, 0.665], [0.751, 0.758, 0.000], [0.500, 0.827, 0.345], [0.249, 0.242, 0.000], [0.244, 0.594, 0.325], [0.000, 0.000, 0.000], [0.756, 0.406, 0.675]]
}

(2)
{
  "formula": "Mg2ZnCu",
  "functional": "PBE",
  "state": "relaxed",
  "e_form_mev_per_atom": 145,
  "total_energy_ev_per_atom": -1.99,
  "cell": [[0.274, 7.435, 1.633], [-3.260, -6.876, 0.353], [1.456, -7.415, 0.962]],
  "species": ["Mg", "Zn", "Cu", "Mg"],
  "frac_coords": [[0.000, 0.178, 0.178], [0.000, 0.500, 0.500], [0.000, 0.000, 0.000], [0.000, 0.822, 0.822]]
}

(3)
{
  "formula": "CuTcW2",
  "functional": "PBE",
  "state": "relaxed",
  "e_form_mev_per_atom": 276,
  "total_energy_ev_per_atom": -9.82,
  "cell": [[-3.748, 3.158, 1.496], [-4.797, -1.427, -1.102], [4.286, -1.400, 2.436]],
  "species": ["Tc", "W", "W", "Cu"],
  "frac_coords": [[0.241, 0.741, 0.500], [0.757, 0.257, 0.500], [0.000, 0.000, 0.000], [0.502, 0.502, 0.000]]
}

(4)
{
  "formula": "SrZnNi2",
  "functional": "PBE",
  "state": "relaxed",
  "e_form_mev_per_atom": 67,
  "total_energy_ev_per_atom": -3.56,
  "cell": [[-3.123, 1.128, 1.927], [-1.761, -3.062, -1.062], [0.994, -4.131, 4.028]],
  "species": ["Ni", "Sr", "Zn", "Ni"],
  "frac_coords": [[0.500, 0.097, 0.188], [0.000, 0.471, 0.447], [0.500, 0.738, 0.896], [0.000, 0.195, 0.970]]
}

(5)
{
  "formula": "Te2IO",
  "functional": "PBE",
  "state": "relaxed",
  "formation_energy_uncorrected_mev_per_atom": 33,
  "total_energy_ev_per_atom": -3.16,
  "cell": [[2.072, 0.000, 9.586], [-1.036, 1.794, 9.586], [-1.036, -1.794, 9.586]],
  "species": ["O", "Te", "I", "Te"],
  "frac_coords": [[0.000, 0.000, 0.000], [0.931, 0.931, 0.931], [0.500, 0.500, 0.500], [0.069, 0.069, 0.069]]
}

(6)
{
  "formula": "Ac2Pm7Sm2",
  "functional": "PBE",
  "state": "relaxed",
  "e_form_mev_per_atom": 154,
  "total_energy_ev_per_atom": -4.47,
  "cell": [[-3.555, -4.810, -2.036], [4.313, -1.275, 7.696], [-4.193, 6.246, 4.782]],
  "species": ["Ac", "Pm", "Pm", "Pm", "Sm", "Pm", "Pm", "Sm", "Ac", "Pm", "Pm"],
  "frac_coords": [[0.500, 0.786, 0.214], [0.000, 0.000, 0.000], [0.812, 0.057, 0.595], [0.634, 0.409, 0.409], [0.093, 0.755, 0.755], [0.366, 0.591, 0.591], [0.188, 0.405, 0.943], [0.907, 0.245, 0.245], [0.500, 0.214, 0.786], [0.812, 0.595, 0.057], [0.188, 0.943, 0.405]]
}

(7)
{
  "formula": "MnTlBr2",
  "functional": "PBE",
  "state": "relaxed",
  "formation_energy_uncorrected_mev_per_atom": -267,
  "total_energy_ev_per_atom": -3.99,
  "cell": [[9.073, 0.008, 0.004], [8.234, 3.811, 0.004], [8.234, 1.817, 3.350]],
  "species": ["Br", "Tl", "Mn", "Br"],
  "frac_coords": [[0.017, 0.017, 0.017], [0.759, 0.759, 0.759], [0.504, 0.504, 0.504], [0.221, 0.221, 0.221]]
}

(8)
{
  "formula": "Tm3Mg2Cu",
  "functional": "PBE",
  "state": "relaxed",
  "e_form_mev_per_atom": -119,
  "total_energy_ev_per_atom": -3.57,
  "cell": [[-1.187, -0.961, -3.157], [2.710, -2.198, -0.350], [-6.385, -8.673, 5.042]],
  "species": ["Cu", "Tm", "Mg", "Tm", "Tm", "Mg"],
  "frac_coords": [[0.500, 0.500, 0.500], [0.000, 0.000, 0.000], [0.500, 0.500, 0.822], [0.000, 0.000, 0.363], [0.000, 0.000, 0.637], [0.500, 0.500, 0.178]]
}